Entry 1:
# Zr6CdIn3, optimized geometry, DFT PBE
data_Zr6CdIn3
_chemical_formula_sum 'Zr12 Cd2 In6'
_cell_length_a 8.554
_cell_length_b 5.171
_cell_length_c 10.973
_cell_angle_alpha 90.00
_cell_angle_beta 112.55
_cell_angle_gamma 90.00
_space_group_name_H-M_alt 'P 1 21/m 1'
_space_group_IT_number 11
loop_
_space_group_symop_operation_xyz
'x,y,z'
'-x,-y,-z'
'-x,y+1/2,-z'
'x,-y+1/2,z'
loop_
_atom_site_label
_atom_site_type_symbol
_atom_site_fract_x
_atom_site_fract_y
_atom_site_fract_z
Zr1 Zr 0.019 0.250 0.172
Zr2 Zr 0.019 0.250 0.675
Zr3 Zr 0.189 0.750 0.133
Zr4 Zr 0.220 0.250 0.469
Zr5 Zr 0.378 0.750 0.929
Zr6 Zr 0.424 0.250 0.271
Cd1 Cd 0.387 0.750 0.428
In1 In 0.177 0.750 0.627
In2 In 0.206 0.250 0.974
In3 In 0.414 0.250 0.774
# calculated total energy = -62.4 eV/f.u.
# formation energy = -0.1964 eV/atom
# energy relative to the lowest polymorph listed for this composition = 0 meV per atom

---

Entry 2:
# CsNa2PmBr6, optimized geometry, DFT PBE
data_CsNa2PmBr6
_chemical_formula_sum 'Cs3 Na6 Pm3 Br18'
_cell_length_a 7.7442
_cell_length_b 7.7442
_cell_length_c 21.4624
_cell_angle_alpha 90.00
_cell_angle_beta 90.00
_cell_angle_gamma 120.00
_space_group_name_H-M_alt 'R 3'
_space_group_IT_number 146
_space_group_name_Hall 'R 3'
loop_
_atom_site_label
_atom_site_type_symbol
_atom_site_fract_x
_atom_site_fract_y
_atom_site_fract_z
Cs1 Cs 0.0000 0.0000 0.0000
Na1 Na 0.0000 0.0000 0.2077
Na2 Na 0.0000 0.0000 0.7266
Pm1 Pm 0.0000 0.0000 0.5325
Br1 Br 0.9996 0.3236 0.4647
Br2 Br 0.1157 0.7662 0.2894
# formation energy without anion corrections = -1.739 eV/atom
# calculated total energy = -35.7 eV/f.u.

---

Entry 3:
# KMgZrIn2, optimized geometry, DFT PBE
data_KMgZrIn2
_chemical_formula_sum 'K1 Mg1 Zr1 In2'
_cell_length_a 5.332
_cell_length_b 5.332
_cell_length_c 5.386
_cell_angle_alpha 90.00
_cell_angle_beta 90.00
_cell_angle_gamma 90.00
_space_group_name_H-M_alt 'P 4/m m m'
_space_group_IT_number 123
_space_group_name_Hall '-P 4 2'
loop_
_atom_site_label
_atom_site_type_symbol
_atom_site_fract_x
_atom_site_fract_y
_atom_site_fract_z
K1 K 0.000 0.000 0.000
Mg1 Mg 0.000 0.000 0.500
Zr1 Zr 0.500 0.500 0.000
In1 In 0.000 0.500 0.500
# calculated total energy = -12.5 eV/f.u.
# formation energy = 0.8377 eV/atom

---

Entry 4:
# Sr2PdS, optimized geometry, DFT PBE
data_Sr2PdS
_chemical_formula_sum 'Sr6 Pd3 S3'
_cell_length_a 4.2254
_cell_length_b 4.2254
_cell_length_c 22.6434
_cell_angle_alpha 90.00
_cell_angle_beta 90.00
_cell_angle_gamma 120.00
_space_group_name_H-M_alt 'R 3 m'
_space_group_IT_number 160
_space_group_name_Hall 'R 3 -2"'
loop_
_atom_site_label
_atom_site_type_symbol
_atom_site_fract_x
_atom_site_fract_y
_atom_site_fract_z
Sr1 Sr 0.0000 0.0000 0.0000
Sr2 Sr 0.0000 0.0000 0.1632
Pd1 Pd 0.0000 0.0000 0.5819
S1 S 0.0000 0.0000 0.7480
# formation energy without anion corrections = -1.177 eV/atom
# calculated total energy = -17.4 eV/f.u.

---

Entry 5:
# SrCu2PtO4, optimized geometry, DFT PBE
data_SrCu2PtO4
_chemical_formula_sum 'Sr2 Cu4 Pt2 O8'
_cell_length_a 4.874
_cell_length_b 5.696
_cell_length_c 7.556
_cell_angle_alpha 90.00
_cell_angle_beta 90.00
_cell_angle_gamma 90.00
_space_group_name_H-M_alt 'I 2 2 2'
_space_group_IT_number 23
loop_
_space_group_symop_operation_xyz
'x,y,z'
'-x,-y,z'
'x,-y,-z'
'-x,y,-z'
'x+1/2,y+1/2,z+1/2'
'-x+1/2,-y+1/2,z+1/2'
'x+1/2,-y+1/2,-z+1/2'
'-x+1/2,y+1/2,-z+1/2'
loop_
_atom_site_label
_atom_site_type_symbol
_atom_site_fract_x
_atom_site_fract_y
_atom_site_fract_z
Sr1 Sr 0.000 0.000 0.000
Cu1 Cu 0.000 0.500 0.213
Pt1 Pt 0.000 0.000 0.500
O1 O 0.162 0.200 0.299
# formation energy without anion corrections = -0.870 eV/atom
# calculated total energy = -42.7 eV/f.u.

---

Entry 6:
# TiTe2AuI, optimized geometry, DFT PBE
data_TiTe2AuI
_chemical_formula_sum 'Ti1 Te2 Au1 I1'
_cell_length_a 5.347
_cell_length_b 5.347
_cell_length_c 5.402
_cell_angle_alpha 90.00
_cell_angle_beta 90.00
_cell_angle_gamma 90.00
_space_group_name_H-M_alt 'P 4/m m m'
_space_group_IT_number 123
_space_group_name_Hall '-P 4 2'
loop_
_atom_site_label
_atom_site_type_symbol
_atom_site_fract_x
_atom_site_fract_y
_atom_site_fract_z
Ti1 Ti 0.000 0.000 0.000
Te1 Te 0.000 0.500 0.000
Au1 Au 0.500 0.500 0.500
I1 I 0.000 0.000 0.500
# formation energy without anion corrections = 0.169 eV/atom
# calculated total energy = -18.2 eV/f.u.
# energy relative to the lowest polymorph listed for this composition = 0 meV per atom